# 1
DFT (GGA-PBE) results for a geometry-optimized SmUSe3 structure.

Cell and atoms, written as POSCAR:
```
SmUSe3
1.0
7.8000 0.0000 0.0000
0.0000 4.0743 0.0000
0.0000 0.0000 16.0724
Sm U Se
4 4 12
Cartesian
0.8480 1.0186 3.3284
3.0520 3.0557 11.3646
4.7480 1.0186 4.7078
6.9520 3.0557 12.7440
1.8349 3.0557 7.4226
2.0651 1.0186 15.4588
5.7349 3.0557 0.6135
5.9651 1.0186 8.6497
0.0544 1.0186 6.3738
0.9410 3.0557 1.1220
1.3268 1.0186 12.5672
2.5732 3.0557 4.5310
2.9590 1.0186 9.1581
3.8456 3.0557 14.4100
3.9544 1.0186 1.6624
4.8410 3.0557 6.9142
5.2268 1.0186 11.5413
6.4732 3.0557 3.5051
6.8590 1.0186 14.9504
7.7456 3.0557 9.6985
```

## Properties
- distance to the lowest polymorph of the same formula (meV/atom) = 0.0
- mass density (Mg/m³) = 8.131
- formation energy without anion corrections (eV/atom) = -1.51
- spin magnetization (Bohr magnetons per cell) = 11.30
- crystal system = orthorhombic
- uncorrected energy (eV/atom) = -6.7981



# 2
DFT (GGA-PBE) results for a geometry-optimized SmVSe structure.

Cell and atoms, written as POSCAR:
```
SmVSe
1.0
1.8956 -8.4180 0.0000
1.8956 8.4180 0.0000
0.0000 0.0000 4.2349
Sm V Se
2 2 2
Cartesian
1.8956 6.1624 3.1762
1.8956 -6.1624 1.0587
1.8956 0.3725 3.1762
1.8956 -0.3725 1.0587
1.8956 2.9756 3.1762
1.8956 -2.9756 1.0587
```

## Properties
- mass density (Mg/m³) = 6.887
- formation energy without anion corrections (eV/atom) = -0.76
- spin magnetization (Bohr magnetons per cell) = 0.00
- crystal system = orthorhombic
- uncorrected energy (eV/atom) = -6.5319



# 3
DFT (GGA-PBE) results for a geometry-optimized SmVSe3 structure.

Cell and atoms, written as POSCAR:
```
SmVSe3
1.0
8.0642 0.0000 0.0000
0.0000 6.2716 0.0000
-1.2912 0.0000 9.2328
Sm V Se
4 4 12
Cartesian
1.0481 1.4851 1.5714
0.4025 1.6507 6.1878
6.3705 4.6209 3.0450
5.7249 4.7866 7.6614
2.4965 4.6728 5.3851
3.1421 4.7346 0.7688
3.6309 1.5370 8.4640
4.2765 1.5988 3.8476
0.5554 4.4636 1.0493
-0.0902 4.9439 5.6656
1.3126 0.4730 8.6243
1.9582 2.6628 4.0079
2.4821 3.6392 7.7071
3.1277 5.7682 3.0907
3.6452 0.5034 6.1421
4.2908 2.6324 1.5257
4.8147 3.6088 5.2248
5.4603 5.7986 0.6085
6.8632 1.3277 3.5671
6.2176 1.8081 8.1835
```

## Properties
- mass density (Mg/m³) = 6.233
- formation energy without anion corrections (eV/atom) = -1.17
- spin magnetization (Bohr magnetons per cell) = 8.00
- crystal system = monoclinic
- uncorrected energy (eV/atom) = -6.0292